BaGe2BiO6, optimized geometry, DFT PBE; total moment = 0.000 μB/atom; V = 16.715 Å³ per atom; symmetry = C2/c (15); uncorrected formation energy = -39.58 kcal/mol of atoms; total energy = -6.1953 eV/atom
1.0
5.398 -5.135 0.000
5.398 5.135 0.000
-1.736 0.000 6.030
Ba Ge Bi O
2 4 2 12
Direct
0.179 0.821 0.750
0.821 0.179 0.250
0.122 0.298 0.784
0.298 0.122 0.284
0.702 0.878 0.716
0.878 0.702 0.216
0.393 0.607 0.250
0.607 0.393 0.750
0.107 0.623 0.318
0.138 0.175 0.025
0.175 0.138 0.525
0.281 0.485 0.863
0.377 0.893 0.182
0.485 0.281 0.363
0.515 0.719 0.637
0.623 0.107 0.818
0.719 0.515 0.137
0.825 0.862 0.475
0.862 0.825 0.975
0.893 0.377 0.682